Entry 1:
## Sc2CdSe (PBE)

Data for crystalline Sc2CdSe at its relaxed geometry.

Calculated values
Magnetization, μB per formula unit: 1.36
Distance to the lowest polymorph of the same formula, eV per formula unit: 0.65
Raw formation energy, eV/atom: -0.7114

Cell and atoms, written as CIF:
```
data_Sc2CdSe
_cell_length_a 3.3663
_cell_length_b 3.3663
_cell_length_c 7.4053
_cell_angle_alpha 90.00
_cell_angle_beta 90.00
_cell_angle_gamma 90.00
_space_group_name_H-M_alt 'P 1'
_space_group_IT_number 1
loop_
_space_group_symop_operation_xyz
'x,y,z'
loop_
_atom_site_label
_atom_site_type_symbol
_atom_site_fract_x
_atom_site_fract_y
_atom_site_fract_z
_atom_site_occupancy
Sc1 Sc 0.0000 0.0000 0.2241 1
Sc2 Sc 0.0000 0.0000 0.7759 1
Cd1 Cd 0.5000 0.5000 0.5000 1
Se1 Se 0.5000 0.5000 0.0000 1
```



Entry 2:
## Pm2Ga2Pb (PBE)

Data for crystalline Pm2Ga2Pb at its relaxed geometry.

Calculated values
Final energy, eV per atom: -4.450
Magnetization, μB per formula unit: 0.00

Cell and atoms, written as CIF:
```
data_Pm2Ga2Pb
_cell_length_a 7.6171
_cell_length_b 7.6171
_cell_length_c 4.2195
_cell_angle_alpha 90.00
_cell_angle_beta 90.00
_cell_angle_gamma 148.23
_space_group_name_H-M_alt 'P 1'
_space_group_IT_number 1
loop_
_space_group_symop_operation_xyz
'x,y,z'
loop_
_atom_site_label
_atom_site_type_symbol
_atom_site_fract_x
_atom_site_fract_y
_atom_site_fract_z
_atom_site_occupancy
Pm1 Pm 0.1324 0.8676 0.0000 1
Pm2 Pm 0.8676 0.1324 0.0000 1
Ga1 Ga 0.2967 0.7033 0.5000 1
Ga2 Ga 0.7033 0.2967 0.5000 1
Pb1 Pb 0.5000 0.5000 0.5000 1
```



Entry 3:
## Ba3Pr4S8 (PBE)

Data for crystalline Ba3Pr4S8 at its relaxed geometry.

Calculated values
Magnetization, μB per formula unit: 0.00
Raw formation energy, eV/atom: -1.9741

Cell and atoms, written as CIF:
```
data_Ba3Pr4S8
_cell_length_a 8.5891
_cell_length_b 8.5891
_cell_length_c 8.4819
_cell_angle_alpha 119.40
_cell_angle_beta 119.40
_cell_angle_gamma 90.12
_space_group_name_H-M_alt 'P 1'
_space_group_IT_number 1
loop_
_space_group_symop_operation_xyz
'x,y,z'
loop_
_atom_site_label
_atom_site_type_symbol
_atom_site_fract_x
_atom_site_fract_y
_atom_site_fract_z
_atom_site_occupancy
Ba1 Ba 0.0000 0.0000 0.0000 1
Ba2 Ba 0.0000 0.5000 0.0000 1
Ba3 Ba 0.5000 0.0000 0.0000 1
Pr1 Pr 0.0000 0.5000 0.5000 1
Pr2 Pr 0.5000 0.0000 0.5000 1
Pr3 Pr 0.5000 0.5000 0.0000 1
Pr4 Pr 0.5000 0.5000 0.5000 1
S1 S 0.2595 0.7405 0.0000 1
S2 S 0.2623 0.7377 0.5000 1
S3 S 0.2679 0.2679 0.5180 1
S4 S 0.2798 0.2798 0.0335 1
S5 S 0.7202 0.7202 0.9665 1
S6 S 0.7321 0.7321 0.4820 1
S7 S 0.7377 0.2623 0.5000 1
S8 S 0.7405 0.2595 0.0000 1
```



Entry 4:
## Nb5AlS8 (PBE)

Data for crystalline Nb5AlS8 at its relaxed geometry.

Calculated values
Magnetization, μB per formula unit: 0.87
Raw formation energy, eV/atom: -0.8321

Cell and atoms, written as CIF:
```
data_Nb5AlS8
_cell_length_a 7.3137
_cell_length_b 7.3137
_cell_length_c 7.3137
_cell_angle_alpha 60.00
_cell_angle_beta 60.00
_cell_angle_gamma 60.00
_space_group_name_H-M_alt 'P 1'
_space_group_IT_number 1
loop_
_space_group_symop_operation_xyz
'x,y,z'
loop_
_atom_site_label
_atom_site_type_symbol
_atom_site_fract_x
_atom_site_fract_y
_atom_site_fract_z
_atom_site_occupancy
Nb1 Nb 0.0000 0.0000 0.0000 1
Nb2 Nb 0.3936 0.3936 0.3936 1
Nb3 Nb 0.3936 0.3936 0.8191 1
Nb4 Nb 0.3936 0.8191 0.3936 1
Nb5 Nb 0.8191 0.3936 0.3936 1
Al1 Al 0.7500 0.7500 0.7500 1
S1 S 0.1214 0.6262 0.6262 1
S2 S 0.1339 0.1339 0.1339 1
S3 S 0.1339 0.1339 0.5984 1
S4 S 0.1339 0.5984 0.1339 1
S5 S 0.5984 0.1339 0.1339 1
S6 S 0.6262 0.1214 0.6262 1
S7 S 0.6262 0.6262 0.1214 1
S8 S 0.6262 0.6262 0.6262 1
```